The following is a DFT calculation (GGA-PBE) of a relaxed structure of PaS3F.

The final energy is -0.226 Ha/atom. As for the magnetization: 0.000 μB per formula unit. The value obtained for the uncorrected formation energy is -1397.1 meV per atom. For the density of states at the Fermi level, the calculation gives 4.9 states/eV/cell.

Lattice parameters (Å, degrees): 4.855 8.179 4.737 90.00 90.00 90.00
Space group Pmmn (No. 59, origin choice 2)
One atom of each set of equivalent atoms:
Pa (0.250, 0.250, 0.025) (multiplicity 2)
S (0.250, 0.577, 0.179) (multiplicity 4)
S (0.250, 0.750, 0.687) (multiplicity 2)
F (0.250, 0.250, 0.568) (multiplicity 2)